This record from Alexandria via LeMat-Bulk describes crystalline ZrZn4Ir at its relaxed geometry. The functional is PBE-GGA.

The structure belongs to space group F-43m (No. 216); the cell edges are 7.1108, 7.1108 and 7.1108 Å and the angles 90.00°, 90.00° and 90.00°. Symmetry generates all atoms from Zr at (0.0000, 0.0000, 0.0000), Zn at (0.1248, 0.1248, 0.6248) and Ir at (0.2500, 0.2500, 0.2500).

For the total energy, the calculation gives -4.02 eV/atom. The calculation puts the relative energy among the computed polymorphs at 0.000 eV/atom. The total magnetization is 0.72 μB per formula unit. The value obtained for the density of states at the Fermi level is 5.0 states/eV/f.u. The formation energy is -0.267 eV/atom.

=====

This record from Alexandria via LeMat-Bulk describes crystalline SrIn4Ag2 at its relaxed geometry. The functional is PBE-GGA.

The structure belongs to space group I4/mmm (No. 139); the cell edges are 7.8719, 7.8719 and 5.6688 Å and the angles 90.00°, 90.00° and 90.00°. Symmetry generates all atoms from Sr at (0.0000, 0.0000, 0.0000), In at (0.1952, 0.1952, 0.5000) and Ag at (0.0000, 0.5000, 0.2500).

For the total energy, the calculation gives -2.76 eV/atom. The calculation puts the relative energy among the computed polymorphs at 0.097 eV/atom. The total magnetization is 0.00 μB per formula unit. The value obtained for the density of states at the Fermi level is 3.4 states/eV/f.u. The formation energy is -0.141 eV/atom.

=====

This record from Alexandria via LeMat-Bulk describes crystalline BaMoW2 at its relaxed geometry. The functional is PBE-GGA.

The structure belongs to space group R-3m (No. 166, hexagonal axes); the cell edges are 3.0849, 3.0849 and 30.4011 Å and the angles 90.00°, 90.00° and 120.00°. Symmetry generates all atoms from Ba at (0.0000, 0.0000, 0.0000), Mo at (0.0000, 0.0000, 0.5000) and W at (0.0000, 0.0000, 0.2323).

For the total energy, the calculation gives -8.57 eV/atom. The calculation puts the relative energy among the computed polymorphs at 0.251 eV/atom. The total magnetization is 0.00 μB per formula unit. The value obtained for the density of states at the Fermi level is 3.5 states/eV/f.u. The formation energy is 1.098 eV/atom.

=====

Question: Among the records above, which one has the lowest relative energy among the computed polymorphs?
Answer: ZrZn4Ir

=====

Question: Among the records above, which one has the highest relative energy among the computed polymorphs?
Answer: BaMoW2

=====

Question: Which of these has the highest relative energy among the computed polymorphs?
Answer: BaMoW2

=====

Question: Look up the relative energy among the computed polymorphs of the first one.
Answer: 0.000 eV/atom